# 1
Density functional theory data (PBE) for CdP4Pb after structural relaxation.

Calculated values
As for the formation energy: 0.3882 eV/atom. The calculation puts the total DFT energy (no corrections) at -3.989 eV/atom. The calculation puts the total magnetization at 0.00 μB per formula unit. For the density of states at the Fermi level, the calculation gives 0.78 states/eV/atom.

CIF file:
```
data_CdP4Pb
_cell_length_a 5.9246
_cell_length_b 5.9246
_cell_length_c 5.9246
_cell_angle_alpha 60.00
_cell_angle_beta 60.00
_cell_angle_gamma 60.00
_space_group_name_H-M_alt 'P 1'
_space_group_IT_number 1
loop_
_space_group_symop_operation_xyz
'x,y,z'
loop_
_atom_site_label
_atom_site_type_symbol
_atom_site_fract_x
_atom_site_fract_y
_atom_site_fract_z
_atom_site_occupancy
P1 P 0.3447 0.3447 0.3447 1
P2 P 0.9660 0.3447 0.3447 1
P3 P 0.3447 0.9660 0.3447 1
P4 P 0.3447 0.3447 0.9660 1
Pb1 Pb 0.7500 0.7500 0.7500 1
Cd1 Cd 0.0000 0.0000 0.0000 1
```

# 2
Density functional theory data (PBE) for Cd2PPb after structural relaxation.

Calculated values
As for the formation energy: 0.1762 eV/atom. The calculation puts the total DFT energy (no corrections) at -2.561 eV/atom. The calculation puts the total magnetization at 0.00 μB per formula unit. For the density of states at the Fermi level, the calculation gives 0.61 states/eV/atom.

CIF file:
```
data_Cd2PPb
_cell_length_a 3.6712
_cell_length_b 3.6667
_cell_length_c 8.0528
_cell_angle_alpha 90.00
_cell_angle_beta 90.00
_cell_angle_gamma 90.00
_space_group_name_H-M_alt 'P 1'
_space_group_IT_number 1
loop_
_space_group_symop_operation_xyz
'x,y,z'
loop_
_atom_site_label
_atom_site_type_symbol
_atom_site_fract_x
_atom_site_fract_y
_atom_site_fract_z
_atom_site_occupancy
Cd1 Cd 0.5000 0.5000 0.3853 1
Cd2 Cd 0.0000 0.0000 0.0106 1
P1 P 0.0000 0.0000 0.3300 1
Pb1 Pb 0.5000 0.5000 0.7741 1
```

# 3
Density functional theory data (PBE) for Cd2PPb after structural relaxation.

Calculated values
As for the formation energy: 0.1228 eV/atom. The calculation puts the total DFT energy (no corrections) at -2.614 eV/atom. The calculation puts the total magnetization at 0.00 μB per formula unit. For the density of states at the Fermi level, the calculation gives 0.38 states/eV/atom.

CIF file:
```
data_Cd2PPb
_cell_length_a 8.0068
_cell_length_b 8.0068
_cell_length_c 6.4460
_cell_angle_alpha 51.61
_cell_angle_beta 51.61
_cell_angle_gamma 90.00
_space_group_name_H-M_alt 'P 1'
_space_group_IT_number 1
loop_
_space_group_symop_operation_xyz
'x,y,z'
loop_
_atom_site_label
_atom_site_type_symbol
_atom_site_fract_x
_atom_site_fract_y
_atom_site_fract_z
_atom_site_occupancy
Cd1 Cd 0.3750 0.4310 0.7500 1
Cd2 Cd 0.5690 0.1250 0.2500 1
Cd3 Cd 0.8750 0.8190 0.7500 1
Cd4 Cd 0.1810 0.6250 0.2500 1
Pb1 Pb 0.0000 0.0000 0.0000 1
Pb2 Pb 0.7500 0.2500 0.5000 1
P1 P 0.5000 0.5000 0.0000 1
P2 P 0.2500 0.7500 0.5000 1
```

# 4
Density functional theory data (PBE) for CdPPb2 after structural relaxation.

Calculated values
As for the formation energy: 0.1368 eV/atom. The calculation puts the total DFT energy (no corrections) at -3.299 eV/atom. Its energy above the most stable polymorph in this dataset is 0.0454 eV per atom. The calculation puts the total magnetization at 0.00 μB per formula unit. For the density of states at the Fermi level, the calculation gives 0.33 states/eV/atom.

CIF file:
```
data_CdPPb2
_cell_length_a 6.1920
_cell_length_b 6.1920
_cell_length_c 5.7171
_cell_angle_alpha 59.74
_cell_angle_beta 59.74
_cell_angle_gamma 35.30
_space_group_name_H-M_alt 'P 1'
_space_group_IT_number 1
loop_
_space_group_symop_operation_xyz
'x,y,z'
loop_
_atom_site_label
_atom_site_type_symbol
_atom_site_fract_x
_atom_site_fract_y
_atom_site_fract_z
_atom_site_occupancy
P1 P 0.2280 0.2280 0.3795 1
Pb1 Pb 0.9509 0.9509 0.0217 1
Pb2 Pb 0.7676 0.7676 0.7092 1
Cd1 Cd 0.5534 0.5534 0.3897 1
```

# 5
Density functional theory data (PBE) for CdPPtPb2 after structural relaxation.

Calculated values
As for the formation energy: 0.1390 eV/atom. The calculation puts the total DFT energy (no corrections) at -3.818 eV/atom. The calculation puts the total magnetization at 0.00 μB per formula unit. For the density of states at the Fermi level, the calculation gives 0.79 states/eV/atom.

CIF file:
```
data_CdPPtPb2
_cell_length_a 5.7909
_cell_length_b 4.3723
_cell_length_c 5.7909
_cell_angle_alpha 90.00
_cell_angle_beta 90.00
_cell_angle_gamma 90.00
_space_group_name_H-M_alt 'P 1'
_space_group_IT_number 1
loop_
_space_group_symop_operation_xyz
'x,y,z'
loop_
_atom_site_label
_atom_site_type_symbol
_atom_site_fract_x
_atom_site_fract_y
_atom_site_fract_z
_atom_site_occupancy
P1 P 0.0000 0.5000 0.0000 1
Cd1 Cd 0.5000 0.5000 0.5000 1
Pb1 Pb 0.0000 0.0000 0.5000 1
Pb2 Pb 0.5000 0.0000 0.0000 1
Pt1 Pt 0.0000 0.0000 0.0000 1
```

# 6
Density functional theory data (PBE) for CdP3Pt12Pb2 after structural relaxation.

Calculated values
As for the formation energy: -0.1670 eV/atom. The calculation puts the total DFT energy (no corrections) at -5.559 eV/atom. The calculation puts the total magnetization at 0.00 μB per formula unit. For the density of states at the Fermi level, the calculation gives 0.24 states/eV/atom.

CIF file:
```
data_CdP3Pt12Pb2
_cell_length_a 7.5616
_cell_length_b 7.5616
_cell_length_c 7.5616
_cell_angle_alpha 65.98
_cell_angle_beta 65.98
_cell_angle_gamma 65.98
_space_group_name_H-M_alt 'P 1'
_space_group_IT_number 1
loop_
_space_group_symop_operation_xyz
'x,y,z'
loop_
_atom_site_label
_atom_site_type_symbol
_atom_site_fract_x
_atom_site_fract_y
_atom_site_fract_z
_atom_site_occupancy
P1 P 0.0000 0.0000 0.5000 1
P2 P 0.0000 0.5000 0.0000 1
P3 P 0.5000 0.0000 0.0000 1
Pt1 Pt 0.3545 0.3545 0.8922 1
Pt2 Pt 0.1417 0.1417 0.6045 1
Pt3 Pt 0.8922 0.3545 0.3545 1
Pt4 Pt 0.6455 0.1078 0.6455 1
Pt5 Pt 0.8583 0.3955 0.8583 1
Pt6 Pt 0.1078 0.6455 0.6455 1
Pt7 Pt 0.8583 0.8583 0.3955 1
Pt8 Pt 0.6045 0.1417 0.1417 1
Pt9 Pt 0.1417 0.6045 0.1417 1
Pt10 Pt 0.3955 0.8583 0.8583 1
Pt11 Pt 0.6455 0.6455 0.1078 1
Pt12 Pt 0.3545 0.8922 0.3545 1
Pb1 Pb 0.6059 0.6059 0.6059 1
Pb2 Pb 0.3941 0.3941 0.3941 1
Cd1 Cd 0.0000 0.0000 0.0000 1
```

# 7
Density functional theory data (PBE) for CdP2Pt7Pb2 after structural relaxation.

Calculated values
As for the formation energy: -0.3583 eV/atom. The calculation puts the total DFT energy (no corrections) at -5.478 eV/atom. The calculation puts the total magnetization at 0.00 μB per formula unit. For the density of states at the Fermi level, the calculation gives 0.42 states/eV/atom.

CIF file:
```
data_CdP2Pt7Pb2
_cell_length_a 3.9663
_cell_length_b 3.9663
_cell_length_c 15.2608
_cell_angle_alpha 82.49
_cell_angle_beta 82.49
_cell_angle_gamma 89.98
_space_group_name_H-M_alt 'P 1'
_space_group_IT_number 1
loop_
_space_group_symop_operation_xyz
'x,y,z'
loop_
_atom_site_label
_atom_site_type_symbol
_atom_site_fract_x
_atom_site_fract_y
_atom_site_fract_z
_atom_site_occupancy
Pb1 Pb 0.7893 0.7893 0.4210 1
Pb2 Pb 0.2107 0.2107 0.5790 1
Pt1 Pt 0.3090 0.3090 0.3807 1
Pt2 Pt 0.4286 0.9286 0.1443 1
Pt3 Pt 0.5714 0.0714 0.8557 1
Pt4 Pt 0.0714 0.5714 0.8557 1
Pt5 Pt 0.6910 0.6910 0.6193 1
Pt6 Pt 0.5000 0.5000 0.0000 1
Pt7 Pt 0.9286 0.4286 0.1443 1
P1 P 0.6137 0.6137 0.7717 1
P2 P 0.3863 0.3863 0.2283 1
Cd1 Cd 0.0000 0.0000 0.0000 1
```

# 8
Density functional theory data (PBE) for CdPPbS2 after structural relaxation.

Calculated values
The formation energy without anion corrections comes out at 0.54 eV/atom. The calculation puts the total DFT energy (no corrections) at -3.122 eV/atom. Its energy above the most stable polymorph in this dataset is 0.0000 eV per atom. The calculation puts the total magnetization at 1.57 μB per formula unit. For the density of states at the Fermi level, the calculation gives 0.70 states/eV/atom.

CIF file:
```
data_CdPPbS2
_cell_length_a 5.2717
_cell_length_b 5.2717
_cell_length_c 5.0537
_cell_angle_alpha 90.00
_cell_angle_beta 90.00
_cell_angle_gamma 90.00
_space_group_name_H-M_alt 'P 1'
_space_group_IT_number 1
loop_
_space_group_symop_operation_xyz
'x,y,z'
loop_
_atom_site_label
_atom_site_type_symbol
_atom_site_fract_x
_atom_site_fract_y
_atom_site_fract_z
_atom_site_occupancy
Pb1 Pb 0.5000 0.5000 0.5000 1
S1 S 0.5000 0.0000 0.0000 1
S2 S 0.0000 0.5000 0.0000 1
Cd1 Cd 0.0000 0.0000 0.0000 1
P1 P 0.0000 0.0000 0.5000 1
```

# 9
Density functional theory data (PBE) for CdPPbS2 after structural relaxation.

Calculated values
The formation energy without anion corrections comes out at 0.80 eV/atom. The calculation puts the total DFT energy (no corrections) at -2.861 eV/atom. Its energy above the most stable polymorph in this dataset is 0.2611 eV per atom. The calculation puts the total magnetization at 1.70 μB per formula unit. For the density of states at the Fermi level, the calculation gives 0.93 states/eV/atom.

CIF file:
```
data_CdPPbS2
_cell_length_a 5.2099
_cell_length_b 5.2099
_cell_length_c 5.3076
_cell_angle_alpha 90.00
_cell_angle_beta 90.00
_cell_angle_gamma 90.00
_space_group_name_H-M_alt 'P 1'
_space_group_IT_number 1
loop_
_space_group_symop_operation_xyz
'x,y,z'
loop_
_atom_site_label
_atom_site_type_symbol
_atom_site_fract_x
_atom_site_fract_y
_atom_site_fract_z
_atom_site_occupancy
Cd1 Cd 0.5000 0.5000 0.5000 1
P1 P 0.0000 0.0000 0.5000 1
Pb1 Pb 0.0000 0.0000 0.0000 1
S1 S 0.5000 0.0000 0.0000 1
S2 S 0.0000 0.5000 0.0000 1
```

# 10
Density functional theory data (PBE) for CdSiPPb2 after structural relaxation.

Calculated values
The formation energy without anion corrections comes out at 0.66 eV/atom. The calculation puts the total DFT energy (no corrections) at -3.177 eV/atom. The calculation puts the total magnetization at 0.00 μB per formula unit. For the density of states at the Fermi level, the calculation gives 0.47 states/eV/atom.

CIF file:
```
data_CdSiPPb2
_cell_length_a 5.3973
_cell_length_b 4.9117
_cell_length_c 5.3973
_cell_angle_alpha 90.00
_cell_angle_beta 90.00
_cell_angle_gamma 90.00
_space_group_name_H-M_alt 'P 1'
_space_group_IT_number 1
loop_
_space_group_symop_operation_xyz
'x,y,z'
loop_
_atom_site_label
_atom_site_type_symbol
_atom_site_fract_x
_atom_site_fract_y
_atom_site_fract_z
_atom_site_occupancy
Cd1 Cd 0.0000 0.5000 0.0000 1
Pb1 Pb 0.5000 0.0000 0.0000 1
Pb2 Pb 0.0000 0.0000 0.5000 1
Si1 Si 0.0000 0.0000 0.0000 1
P1 P 0.5000 0.5000 0.5000 1
```

# 11
Density functional theory data (PBE) for CdSn2PPb after structural relaxation.

Calculated values
As for the formation energy: 1.0155 eV/atom. The calculation puts the total DFT energy (no corrections) at -2.592 eV/atom. The calculation puts the total magnetization at 0.00 μB per formula unit. For the density of states at the Fermi level, the calculation gives 0.65 states/eV/atom.

CIF file:
```
data_CdSn2PPb
_cell_length_a 5.8330
_cell_length_b 5.3909
_cell_length_c 5.8330
_cell_angle_alpha 90.00
_cell_angle_beta 90.00
_cell_angle_gamma 90.00
_space_group_name_H-M_alt 'P 1'
_space_group_IT_number 1
loop_
_space_group_symop_operation_xyz
'x,y,z'
loop_
_atom_site_label
_atom_site_type_symbol
_atom_site_fract_x
_atom_site_fract_y
_atom_site_fract_z
_atom_site_occupancy
Sn1 Sn 0.0000 0.0000 0.5000 1
Sn2 Sn 0.5000 0.0000 0.0000 1
Pb1 Pb 0.0000 0.0000 0.0000 1
P1 P 0.5000 0.5000 0.5000 1
Cd1 Cd 0.0000 0.5000 0.0000 1
```

# 12
Density functional theory data (PBE) for CdPPd3 after structural relaxation.

Calculated values
As for the formation energy: 1.1668 eV/atom. The calculation puts the total DFT energy (no corrections) at -3.214 eV/atom. Its energy above the most stable polymorph in this dataset is 1.4755 eV per atom. The calculation puts the total magnetization at 0.00 μB per formula unit. For the density of states at the Fermi level, the calculation gives 0.62 states/eV/atom.

CIF file:
```
data_CdPPd3
_cell_length_a 4.9111
_cell_length_b 4.9111
_cell_length_c 4.9111
_cell_angle_alpha 90.00
_cell_angle_beta 90.00
_cell_angle_gamma 90.00
_space_group_name_H-M_alt 'P 1'
_space_group_IT_number 1
loop_
_space_group_symop_operation_xyz
'x,y,z'
loop_
_atom_site_label
_atom_site_type_symbol
_atom_site_fract_x
_atom_site_fract_y
_atom_site_fract_z
_atom_site_occupancy
Pd1 Pd 0.0000 0.0000 0.5000 1
Pd2 Pd 0.0000 0.5000 0.0000 1
Pd3 Pd 0.5000 0.0000 0.0000 1
P1 P 0.5000 0.5000 0.5000 1
Cd1 Cd 0.0000 0.0000 0.0000 1
```